# 1
Tm4CuSi3 | PBE | relaxed

Calculated values
uncorrected formation energy = -0.68 eV/atom
total energy = -43.68 eV/cell
total moment = 0.00 μB per formula unit

Cell and atoms, written as POSCAR:
```
Tm4CuSi3
1.0
4.148 0.000 0.000
0.000 3.855 0.000
0.000 0.000 10.494
Tm Cu Si
4 1 3
Direct
0.500 0.000 0.641 Tm
0.500 0.500 0.360 Tm
0.000 0.500 0.859 Tm
0.000 0.000 0.140 Tm
0.500 0.500 0.070 Cu
0.000 0.500 0.577 Si
0.000 0.000 0.427 Si
0.500 0.000 0.925 Si
```


# 2
YTmCuSi | PBE | relaxed

Calculated values
uncorrected formation energy = -0.44 eV/atom
total energy = -22.20 eV/cell
relative energy among the computed polymorphs = 0.116 eV/atom
total moment = 0.00 μB per formula unit

Cell and atoms, written as POSCAR:
```
YTmCuSi
1.0
4.901 0.000 0.000
2.450 4.244 0.000
2.450 1.415 4.001
Si Cu Tm Y
1 1 1 1
Direct
0.750 0.750 0.750 Si
0.250 0.250 0.250 Cu
0.000 0.000 0.000 Tm
0.500 0.500 0.500 Y
```


# 3
YTmCuSi | PBE | relaxed

Calculated values
uncorrected formation energy = -0.55 eV/atom
total energy = -22.66 eV/cell
relative energy among the computed polymorphs = 0.000 eV/atom
total moment = 0.00 μB per formula unit

Cell and atoms, written as POSCAR:
```
YTmCuSi
1.0
4.037 0.000 0.000
0.000 4.062 0.000
-2.019 0.000 5.312
Tm Y Si Cu
1 1 1 1
Direct
0.863 0.500 0.725 Tm
0.143 0.000 0.285 Y
0.428 0.000 0.856 Si
0.567 0.500 0.134 Cu
```


# 4
YTmCu2Si2 | PBE | relaxed

Calculated values
uncorrected formation energy = -0.68 eV/atom
total energy = -34.03 eV/cell
total moment = 0.00 μB per formula unit

Cell and atoms, written as POSCAR:
```
YTmCu2Si2
1.0
4.147 0.000 0.000
-2.073 3.591 0.000
0.000 0.000 7.369
Cu Y Si Tm
2 1 2 1
Direct
0.667 0.333 0.259 Cu
0.333 0.667 0.741 Cu
0.000 0.000 0.000 Y
0.333 0.667 0.255 Si
0.667 0.333 0.745 Si
0.000 0.000 0.500 Tm
```


# 5
U3Cu4Si4 | PBE | relaxed

Calculated values
uncorrected formation energy = -0.24 eV/atom
total energy = -74.57 eV/cell
total moment = 7.12 μB per formula unit

Cell and atoms, written as POSCAR:
```
U3Cu4Si4
1.0
4.259 0.000 0.000
0.000 6.398 0.001
-2.130 -3.198 6.757
Si Cu U
4 4 3
Direct
0.216 0.716 0.431 Si
0.784 0.284 0.569 Si
0.500 0.810 0.000 Si
0.500 0.190 0.000 Si
0.670 0.862 0.340 Cu
0.670 0.478 0.340 Cu
0.330 0.522 0.660 Cu
0.330 0.138 0.660 Cu
0.123 0.123 0.246 U
0.877 0.877 0.754 U
0.000 0.500 0.000 U
```


# 6
UCuSi | PBE | relaxed

Calculated values
uncorrected formation energy = -0.15 eV/atom
total energy = -42.54 eV/cell
total moment = 2.91 μB per formula unit

Cell and atoms, written as POSCAR:
```
UCuSi
1.0
4.098 0.000 0.000
-2.049 3.549 0.000
0.000 0.000 7.628
U Si Cu
2 2 2
Direct
0.000 0.000 0.000 U
0.000 0.000 0.500 U
0.333 0.667 0.750 Si
0.667 0.333 0.250 Si
0.667 0.333 0.750 Cu
0.333 0.667 0.250 Cu
```


# 7
UCuSi | PBE | relaxed

Calculated values
uncorrected formation energy = -0.14 eV/atom
total energy = -21.23 eV/cell
total moment = 2.76 μB per formula unit

Cell and atoms, written as POSCAR:
```
UCuSi
1.0
4.046 0.000 0.000
-2.023 3.504 0.000
0.000 0.000 3.906
Cu U Si
1 1 1
Direct
0.667 0.333 0.500 Cu
0.333 0.667 0.000 U
0.000 0.000 0.500 Si
```


# 8
UCuSi | PBE | relaxed

Calculated values
uncorrected formation energy = 0.32 eV/atom
total energy = -19.84 eV/cell
total moment = 1.92 μB per formula unit

Cell and atoms, written as POSCAR:
```
UCuSi
1.0
3.714 0.000 0.000
0.000 3.714 0.000
-1.857 -1.857 4.092
Cu U Si
1 1 1
Direct
0.278 0.278 0.555 Cu
0.611 0.611 0.223 U
0.961 0.961 0.922 Si
```


# 9
UCuSi | PBE | relaxed

Calculated values
uncorrected formation energy = -0.03 eV/atom
total energy = -41.79 eV/cell
total moment = 0.11 μB per formula unit

Cell and atoms, written as POSCAR:
```
UCuSi
1.0
-0.332 -4.726 -2.518
0.870 -5.191 1.038
-5.467 1.583 2.056
Cu U Si
2 2 2
Direct
0.797 0.797 0.118 Cu
0.203 0.203 0.882 Cu
0.838 0.838 0.609 U
0.162 0.162 0.391 U
0.573 0.573 0.725 Si
0.427 0.427 0.275 Si
```


# 10
UCu6Si2 | PBE | relaxed

Calculated values
uncorrected formation energy = -0.15 eV/atom
total energy = -48.02 eV/cell
total moment = 2.02 μB per formula unit

Cell and atoms, written as POSCAR:
```
UCu6Si2
1.0
-3.354 -1.970 0.339
0.570 -1.577 -3.526
4.065 -6.321 3.484
Cu Si U
6 2 1
Direct
0.000 0.500 0.697 Cu
0.500 0.000 0.697 Cu
0.500 0.000 0.303 Cu
0.000 0.000 0.500 Cu
0.000 0.500 0.303 Cu
0.500 0.500 0.500 Cu
0.500 0.500 0.141 Si
0.500 0.500 0.859 Si
0.000 0.000 0.000 U
```


# 11
V5CuSi5 | PBE | relaxed

Calculated values
uncorrected formation energy = 0.06 eV/atom
total energy = -76.11 eV/cell
total moment = 0.01 μB per formula unit

Cell and atoms, written as POSCAR:
```
V5CuSi5
1.0
-0.982 -0.507 4.606
4.730 -1.740 -1.618
-0.447 7.734 0.756
V Cu Si
5 1 5
Direct
0.380 0.761 0.273 V
0.000 0.000 0.500 V
0.328 0.656 0.645 V
0.620 0.239 0.727 V
0.672 0.344 0.355 V
0.000 0.000 0.000 Cu
0.500 0.000 0.000 Si
0.135 0.269 0.315 Si
0.790 0.580 0.118 Si
0.865 0.731 0.685 Si
0.210 0.420 0.882 Si
```


# 12
VCuSi | PBE | relaxed

Calculated values
uncorrected formation energy = -0.20 eV/atom
total energy = -19.25 eV/cell
total moment = 0.25 μB per formula unit

Cell and atoms, written as POSCAR:
```
VCuSi
1.0
-0.495 1.455 2.208
-3.709 0.814 -1.367
0.636 -3.261 2.291
Si Cu V
1 1 1
Direct
0.500 0.333 0.667 Si
0.500 0.667 0.333 Cu
0.000 0.000 0.000 V
```


Number 1: calculated volume 20.977 Å³/atom. Number 2: calculated volume 20.806 Å³/atom. Number 3: calculated volume 21.775 Å³/atom. Number 4: calculated volume 18.290 Å³/atom. Number 5: calculated volume 16.739 Å³/atom. Number 6: calculated volume 18.485 Å³/atom. Number 7: calculated volume 18.452 Å³/atom. Number 8: calculated volume 18.812 Å³/atom. Number 9: calculated volume 17.887 Å³/atom. Number 10: calculated volume 14.029 Å³/atom. Number 11: calculated volume 14.124 Å³/atom. Number 12: calculated volume 12.652 Å³/atom.